Entry 1:
DFT (PBE) results for a geometry-optimized NbW2I structure.

Values from the calculation:
For the total energy, the calculation gives -0.5919 Ry/atom. The formation energy without anion corrections comes out at 128.2 kJ/mol of atoms. Its offset from the most stable computed form is 20.6 kJ per mole of atoms.

Unit cell a=10.8308 b=10.8308 c=10.8308 alpha=159.39 beta=159.39 gamma=29.31
Last column: nearest neighbours and their distance in Å.
Sites, in units of the cell vectors:
Nb  0.0000  0.0000  0.0000  4 I 2.74, 4 W 2.95
Nb  0.7500  0.2500  0.5000  4 I 2.74, 4 W 2.95
W  0.1166  0.6250  0.9916  4 W 2.69-2.79, 2 Nb 2.95, 2 I 2.97
W  0.3750  0.3666  0.4916  4 W 2.69-2.79, 2 Nb 2.95, 2 I 2.97
W  0.6334  0.1250  0.0084  4 W 2.69-2.79, 2 Nb 2.95, 2 I 2.97
W  0.8750  0.8834  0.5084  4 W 2.69-2.79, 2 Nb 2.95, 2 I 2.97
I  0.2500  0.7500  0.5000  4 Nb 2.74, 4 W 2.97
I  0.5000  0.5000  0.0000  4 Nb 2.74, 4 W 2.97

=====

Entry 2:
DFT (PBE) results for a geometry-optimized K2Zn3Ag17 structure.

Values from the calculation:
The formation energy is 12 kJ per mole of atoms. For the total energy, the calculation gives -0.1726 Ry/atom.

Unit cell a=7.8274 b=7.8274 c=7.8274 alpha=84.03 beta=84.03 gamma=84.03
Last column: nearest neighbours and their distance in Å.
Sites, in units of the cell vectors:
K  0.1481  0.1481  0.1481  3 Zn 3.04
K  0.8519  0.8519  0.8519  3 Zn 3.04
Zn  0.0000  0.0000  0.5000  4 Ag 2.50-2.54
Zn  0.0000  0.5000  0.0000  4 Ag 2.50-2.54
Zn  0.5000  0.0000  0.0000  4 Ag 2.50-2.54
Ag  0.0000  0.5000  0.5000  10 Ag 2.91-3.19
Ag  0.1764  0.1764  0.6591  1 Zn 2.54, 2 Ag 2.84
Ag  0.1764  0.6591  0.1764  1 Zn 2.54, 2 Ag 2.84
Ag  0.2388  0.5000  0.7612  1 Zn 2.50, 2 Ag 2.74
Ag  0.2388  0.7612  0.5000  1 Zn 2.50, 2 Ag 2.74
Ag  0.3409  0.8236  0.8236  1 Zn 2.54, 2 Ag 2.84
Ag  0.4022  0.4022  0.4022  13 Ag 2.91-3.19
Ag  0.5000  0.0000  0.5000  10 Ag 2.91-3.19
Ag  0.5000  0.2388  0.7612  1 Zn 2.50, 2 Ag 2.74
Ag  0.5000  0.5000  0.0000  10 Ag 2.91-3.19
Ag  0.5000  0.7612  0.2388  1 Zn 2.50, 2 Ag 2.74
Ag  0.5978  0.5978  0.5978  13 Ag 2.91-3.19
Ag  0.6591  0.1764  0.1764  1 Zn 2.54, 2 Ag 2.84
Ag  0.7612  0.2388  0.5000  1 Zn 2.50, 2 Ag 2.74
Ag  0.7612  0.5000  0.2388  1 Zn 2.50, 2 Ag 2.74
Ag  0.8236  0.3409  0.8236  1 Zn 2.54, 2 Ag 2.84
Ag  0.8236  0.8236  0.3409  1 Zn 2.54, 2 Ag 2.84

=====

Entry 3:
DFT (PBE) results for a geometry-optimized Zr3NbCd structure.

Values from the calculation:
The formation energy is 78 kJ per mole of atoms. For the total energy, the calculation gives -0.4794 Ry/atom. Its offset from the most stable computed form is 58.8 kJ per mole of atoms.

Unit cell a=5.1259 b=5.1259 c=5.1259 alpha=90.00 beta=90.00 gamma=90.00
Last column: nearest neighbours and their distance in Å.
Sites, in units of the cell vectors:
Zr  0.0000  0.0000  0.5000  2 Nb 2.56
Zr  0.0000  0.5000  0.0000  2 Nb 2.56
Zr  0.5000  0.0000  0.0000  2 Nb 2.56
Nb  0.0000  0.0000  0.0000  6 Zr 2.56
Cd  0.5000  0.5000  0.5000  12 Zr 3.62

=====

Entry 4:
DFT (PBE) results for a geometry-optimized Be2ZnCrS structure.

Values from the calculation:
For the total energy, the calculation gives -0.2913 Ry/atom. The formation energy without anion corrections comes out at 51.3 kJ/mol of atoms. Its offset from the most stable computed form is 0.0 kJ per mole of atoms.

Unit cell a=4.0144 b=4.0144 c=4.4319 alpha=90.00 beta=90.00 gamma=90.00
Last column: nearest neighbours and their distance in Å.
Sites, in units of the cell vectors:
Be  0.0000  0.5000  0.0000  2 S 2.01
Be  0.5000  0.0000  0.0000  2 S 2.01
Zn  0.0000  0.0000  0.5000  4 Cr 2.84, 8 Be 2.99
Cr  0.5000  0.5000  0.5000  2 S 2.22
S  0.5000  0.5000  0.0000  4 Be 2.01, 2 Cr 2.22

=====

Question: What is the total energy in the second record?
Answer: -0.1726 Ry/atom

=====

Please write out number 3 again, unchanged.
DFT (PBE) results for a geometry-optimized Zr3NbCd structure.

Values from the calculation:
The formation energy is 78 kJ per mole of atoms. For the total energy, the calculation gives -0.4794 Ry/atom. Its offset from the most stable computed form is 58.8 kJ per mole of atoms.

Unit cell a=5.1259 b=5.1259 c=5.1259 alpha=90.00 beta=90.00 gamma=90.00
Last column: nearest neighbours and their distance in Å.
Sites, in units of the cell vectors:
Zr  0.0000  0.0000  0.5000  2 Nb 2.56
Zr  0.0000  0.5000  0.0000  2 Nb 2.56
Zr  0.5000  0.0000  0.0000  2 Nb 2.56
Nb  0.0000  0.0000  0.0000  6 Zr 2.56
Cd  0.5000  0.5000  0.5000  12 Zr 3.62

=====

Question: total energy of number 2 (K2Zn3Ag17)?
Answer: -0.1726 Ry/atom

=====

Question: Which formula does entry 2 have?
Answer: K2Zn3Ag17